The following is a DFT calculation (PBE-GGA) of a geometry-optimized TiMnVRu structure.

The structure in extended XYZ format:
```
4
Lattice="-0.4038 -2.8343 0.8248 2.8992 -0.2242 0.6490 -1.1179 1.7928 5.6132" Properties=species:S:1:pos:R:3 pbc="T T T"
V -0.3853 0.6179 1.9345
Ru 0.5761 -0.4523 4.1089
Mn 1.1175 -1.3204 1.3907
Ti -0.9682 1.5527 4.8616
```

## Properties
Crystal system   tetragonal
V   53.24 Å³/cell
Formation energy   -0.43 eV/atom
Calculated total energy   -9.298 eV per atom
ρ   7.9 g/cm3
Magnetization   0.0 μB/cell